1.
## Ca2PdS (PBE-GGA)

Data for an optimized crystal structure of Ca2PdS.

Lattice parameters (Å, degrees): 3.8028 3.8028 25.8704 90.00 90.00 120.00
Space group R-3m (No. 166, hexagonal axes)
Inequivalent atoms, fractional coordinates:
Ca  0.0000  0.0000  0.1008 x6
Pd  0.0000  0.0000  0.0000 x3
S  0.0000  0.0000  0.5000 x3

Summary:
Density of states at the Fermi level (states/eV/cell): 6.79
Formation energy (no corrections) (eV/atom): -0.786

2.
## Ca2Pd2S (PBE-GGA)

Data for an optimized crystal structure of Ca2Pd2S.

Lattice parameters (Å, degrees): 7.320 7.320 3.941 90.00 90.00 90.00
Space group P4/mbm (No. 127)
Inequivalent atoms, fractional coordinates:
Ca  0.180  0.320  0.000 x4
Pd  0.129  0.629  0.500 x4
S  0.000  0.000  0.500 x2

Summary:
Density of states at the Fermi level (states/eV/cell): 0.02
Formation energy (no corrections) (eV/atom): -0.755

3.
## CaPdS (PBE-GGA)

Data for an optimized crystal structure of CaPdS.

Lattice parameters (Å, degrees): 4.6709 4.6709 9.1201 90.00 90.00 120.00
Space group P6_3/mmc (No. 194)
Inequivalent atoms, fractional coordinates:
Ca  0.3333  0.6667  0.2500 x2
Pd  0.0000  0.0000  0.0000 x2
S  0.0000  0.0000  0.2500 x2

Summary:
Density of states at the Fermi level (states/eV/cell): 0.00
Formation energy (no corrections) (eV/atom): -0.986

4.
## CaPdS (PBE-GGA)

Data for an optimized crystal structure of CaPdS.

Lattice parameters (Å, degrees): 4.223 7.304 7.609 90.00 90.00 90.00
Space group Cmcm (No. 63)
Inequivalent atoms, fractional coordinates:
Ca  0.000  0.000  0.000 x4
Pd  0.000  0.333  0.250 x4
S  0.000  0.333  0.750 x4

Summary:
Density of states at the Fermi level (states/eV/cell): 0.24
Formation energy (no corrections) (eV/atom): -1.181

5.
## Ca2PdS (PBE-GGA)

Data for an optimized crystal structure of Ca2PdS.

Lattice parameters (Å, degrees): 7.285 7.285 8.320 90.00 90.00 90.00
Space group I-42d (No. 122)
Inequivalent atoms, fractional coordinates:
Ca  0.234  0.250  0.125 x8
Pd  0.000  0.000  0.500 x4
S  0.000  0.000  0.000 x4

Summary:
Density of states at the Fermi level (states/eV/cell): 0.00
Formation energy (no corrections) (eV/atom): -1.011

6.
## CaPdS (PBE-GGA)

Data for an optimized crystal structure of CaPdS.

Lattice parameters (Å, degrees): 5.661 3.880 6.055 90.00 92.48 90.00
Space group P2_1/m (No. 11)
Inequivalent atoms, fractional coordinates:
Ca  0.249  0.250  0.335 x2
Pd  0.397  0.250  0.870 x2
S  0.244  0.750  0.669 x2

Summary:
Density of states at the Fermi level (states/eV/cell): 0.30
Formation energy (no corrections) (eV/atom): -1.147

7.
## CaPdS (PBE-GGA)

Data for an optimized crystal structure of CaPdS.

Lattice parameters (Å, degrees): 9.270 4.357 8.163 90.00 122.47 90.00
Space group Cm (No. 8)
Inequivalent atoms, fractional coordinates:
Ca  0.000  0.000  0.000 x2
Ca  0.117  0.000  0.588 x2
Pd  0.064  0.500  0.303 x2
Pd  0.298  0.500  0.166 x2
S  0.300  0.000  0.016 x2
S  0.319  0.500  0.605 x2

Summary:
Density of states at the Fermi level (states/eV/cell): 0.00
Formation energy (no corrections) (eV/atom): -1.154

8.
## CaPd3S (PBE-GGA)

Data for an optimized crystal structure of CaPd3S.

Lattice parameters (Å, degrees): 4.600 4.600 4.600 90.00 90.00 90.00
Space group Pm-3m (No. 221)
Inequivalent atoms, fractional coordinates:
Ca  0.000  0.000  0.000 x1
Pd  0.000  0.500  0.500 x3
S  0.500  0.500  0.500 x1

Summary:
Density of states at the Fermi level (states/eV/cell): 0.99
Formation energy (no corrections) (eV/atom): -0.608